[1]
## EuLuMgIn (PBE-GGA)

Data for a geometry-optimized EuLuMgIn structure.

a = 5.397 Å, b = 5.397 Å, c = 5.397 Å
α = 60.00°, β = 60.00°, γ = 60.00°
Site moments in Bohr magnetons follow the coordinates.
Element x y z (fractional)
Lu  0.750  0.750  0.750  -0.07
Mg  0.000  0.000  0.000  -0.01
In  0.500  0.500  0.500  0.03
Eu  0.250  0.250  0.250  -6.86

Its crystal system is cubic. The calculation puts the calculated total energy at -20.193 eV/f.u. As for the energy of formation from the pure elements: -0.27 eV per atom.

***

[2]
## EuLuInPb (PBE-GGA)

Data for a geometry-optimized EuLuInPb structure.

a = 5.448 Å, b = 5.448 Å, c = 5.448 Å
α = 60.00°, β = 60.00°, γ = 60.00°
Site moments in Bohr magnetons follow the coordinates.
Element x y z (fractional)
Pb  0.500  0.500  0.500  -0.02
Eu  0.750  0.750  0.750  6.83
In  0.000  0.000  0.000  0.00
Lu  0.250  0.250  0.250  0.06

Its crystal system is cubic. The calculation puts the calculated total energy at -22.805 eV/f.u. As for the energy of formation from the pure elements: -0.39 eV per atom.

***

[3]
## EuLuPuIn (PBE-GGA)

Data for a geometry-optimized EuLuPuIn structure.

a = 5.474 Å, b = 5.474 Å, c = 5.474 Å
α = 60.00°, β = 60.00°, γ = 60.00°
Site moments in Bohr magnetons follow the coordinates.
Element x y z (fractional)
Eu  0.000  0.000  0.000  -6.97
Pu  0.750  0.750  0.750  -5.85
In  0.250  0.250  0.250  0.09
Lu  0.500  0.500  0.500  -0.42

Its crystal system is cubic. The calculation puts the calculated total energy at -31.925 eV/f.u. As for the energy of formation from the pure elements: -0.01 eV per atom.

***

[4]
## SmEuLuIn (PBE-GGA)

Data for a geometry-optimized SmEuLuIn structure.

a = 5.511 Å, b = 5.511 Å, c = 5.511 Å
α = 60.00°, β = 60.00°, γ = 60.00°
Site moments in Bohr magnetons follow the coordinates.
Element x y z (fractional)
Lu  0.000  0.000  0.000  0.13
Eu  0.750  0.750  0.750  6.90
In  0.250  0.250  0.250  -0.02
Sm  0.500  0.500  0.500  0.11

Its crystal system is cubic. The calculation puts the calculated total energy at -22.667 eV/f.u. As for the energy of formation from the pure elements: -0.10 eV per atom.

***

[5]
## EuLuInSn (PBE-GGA)

Data for a geometry-optimized EuLuInSn structure.

a = 5.381 Å, b = 5.381 Å, c = 5.381 Å
α = 60.00°, β = 60.00°, γ = 60.00°
Site moments in Bohr magnetons follow the coordinates.
Element x y z (fractional)
Lu  0.500  0.500  0.500  0.08
In  0.750  0.750  0.750  0.00
Sn  0.250  0.250  0.250  -0.01
Eu  0.000  0.000  0.000  6.82

Its crystal system is cubic. The calculation puts the calculated total energy at -23.433 eV/f.u. As for the energy of formation from the pure elements: -0.47 eV per atom.

***

[6]
## TbEuLuIn (PBE-GGA)

Data for a geometry-optimized TbEuLuIn structure.

a = 5.477 Å, b = 5.477 Å, c = 5.477 Å
α = 60.00°, β = 60.00°, γ = 60.00°
Site moments in Bohr magnetons follow the coordinates.
Element x y z (fractional)
In  0.250  0.250  0.250  -0.02
Lu  0.500  0.500  0.500  0.12
Tb  0.000  0.000  0.000  0.13
Eu  0.750  0.750  0.750  6.88

Its crystal system is cubic. The calculation puts the calculated total energy at -22.539 eV/f.u. As for the energy of formation from the pure elements: -0.09 eV per atom.

***

[7]
## EuLuThIn (PBE-GGA)

Data for a geometry-optimized EuLuThIn structure.

a = 5.551 Å, b = 5.551 Å, c = 5.551 Å
α = 60.00°, β = 60.00°, γ = 60.00°
Site moments in Bohr magnetons follow the coordinates.
Element x y z (fractional)
Th  0.250  0.250  0.250  0.25
Eu  0.750  0.750  0.750  6.88
In  0.500  0.500  0.500  -0.01
Lu  0.000  0.000  0.000  0.26

Its crystal system is cubic. The calculation puts the calculated total energy at -25.030 eV/f.u. As for the energy of formation from the pure elements: -0.02 eV per atom.

***

[8]
## EuLuTlIn (PBE-GGA)

Data for a geometry-optimized EuLuTlIn structure.

a = 5.424 Å, b = 5.424 Å, c = 5.424 Å
α = 60.00°, β = 60.00°, γ = 60.00°
Site moments in Bohr magnetons follow the coordinates.
Element x y z (fractional)
Eu  0.250  0.250  0.250  6.84
In  0.500  0.500  0.500  0.00
Tl  0.000  0.000  0.000  0.00
Lu  0.750  0.750  0.750  0.04

Its crystal system is cubic. The calculation puts the calculated total energy at -21.377 eV/f.u. As for the energy of formation from the pure elements: -0.37 eV per atom.

***

[9]
## EuYLuIn (PBE-GGA)

Data for a geometry-optimized EuYLuIn structure.

a = 5.487 Å, b = 5.487 Å, c = 5.487 Å
α = 60.00°, β = 60.00°, γ = 60.00°
Site moments in Bohr magnetons follow the coordinates.
Element x y z (fractional)
In  0.250  0.250  0.250  0.02
Y  0.000  0.000  0.000  -0.10
Lu  0.500  0.500  0.500  -0.12
Eu  0.750  0.750  0.750  -6.89

Its crystal system is cubic. The calculation puts the calculated total energy at -24.390 eV/f.u. As for the energy of formation from the pure elements: -0.10 eV per atom.

***

[10]
## EuMgIn (PBE-GGA)

Data for a geometry-optimized EuMgIn structure.

a = 5.196 Å, b = 5.196 Å, c = 5.196 Å
α = 60.00°, β = 60.00°, γ = 60.00°
Site moments in Bohr magnetons follow the coordinates.
Element x y z (fractional)
In  0.250  0.250  0.250  0.09
Mg  0.000  0.000  0.000  0.00
Eu  0.500  0.500  0.500  6.88

Its crystal system is cubic. The calculation puts the calculated total energy at -14.992 eV/f.u. As for the energy of formation from the pure elements: -0.13 eV per atom.

***

[11]
## EuMg4In (PBE-GGA)

Data for a geometry-optimized EuMg4In structure.

a = 6.086 Å, b = 6.086 Å, c = 6.086 Å
α = 60.00°, β = 60.00°, γ = 60.00°
Site moments in Bohr magnetons follow the coordinates.
Element x y z (fractional)
Mg  0.124  0.625  0.625  0.00
Mg  0.625  0.625  0.124  0.00
Mg  0.625  0.124  0.625  0.00
Mg  0.625  0.625  0.625  0.00
In  0.000  0.000  0.000  0.02
Eu  0.250  0.250  0.250  -6.89

Its crystal system is cubic. The calculation puts the calculated total energy at -19.687 eV/f.u. As for the energy of formation from the pure elements: -0.05 eV per atom.

***

[12]
## EuMgIn4 (PBE-GGA)

Data for a geometry-optimized EuMgIn4 structure.

a = 6.165 Å, b = 6.165 Å, c = 6.165 Å
α = 60.00°, β = 60.00°, γ = 60.00°
Site moments in Bohr magnetons follow the coordinates.
Element x y z (fractional)
In  0.625  0.125  0.625  0.00
In  0.625  0.625  0.625  0.00
In  0.125  0.625  0.625  0.00
In  0.625  0.625  0.125  0.00
Eu  0.000  0.000  0.000  6.87
Mg  0.250  0.250  0.250  0.00

Its crystal system is cubic. The calculation puts the calculated total energy at -23.798 eV/f.u. As for the energy of formation from the pure elements: -0.16 eV per atom.

***

- The highest calculated total energy belongs to which entry?
  EuMgIn

***

- Which value of calculated total energy does entry 6 give?
  -22.539 eV/f.u.

***

What did the eighth record say?
## EuLuTlIn (PBE-GGA)

Data for a geometry-optimized EuLuTlIn structure.

a = 5.424 Å, b = 5.424 Å, c = 5.424 Å
α = 60.00°, β = 60.00°, γ = 60.00°
Site moments in Bohr magnetons follow the coordinates.
Element x y z (fractional)
Eu  0.250  0.250  0.250  6.84
In  0.500  0.500  0.500  0.00
Tl  0.000  0.000  0.000  0.00
Lu  0.750  0.750  0.750  0.04

Its crystal system is cubic. The calculation puts the calculated total energy at -21.377 eV/f.u. As for the energy of formation from the pure elements: -0.37 eV per atom.

***

- energy of formation from the pure elements of number 11 (EuMg4In)?
  -0.05 eV per atom